Record 1
First-principles (PBE) data for an optimized crystal structure of TaCd4Ir, as listed in Alexandria.

a b c (Å): 5.4569 5.4569 5.4569
angles (deg): 60.00 60.00 60.00
Closest atoms and distances in Å follow each position.
Fractional positions:
Ta  0.0000  0.0000  0.0000  12 Cd 3.20, 4 Ir 3.34
Cd  0.8750  0.3750  0.3750  6 Cd 2.73
Cd  0.3750  0.3750  0.8750  6 Cd 2.73
Cd  0.3750  0.8750  0.3750  6 Cd 2.73
Cd  0.3750  0.3750  0.3750  6 Cd 2.73
Ir  0.7500  0.7500  0.7500  12 Cd 3.20, 4 Ta 3.34

Calculated values
Symmetry: No. 216
Mass density (kg/m3): 11891
DOS at the Fermi energy (states/eV per cell): 2.852
Formation energy (meV per atom): 605.8
Electronic total energy (eV per cell): -20.739


Record 2
First-principles (PBE) data for an optimized crystal structure of Hg2PRh, as listed in Alexandria.

a b c (Å): 4.7004 4.7004 4.7004
angles (deg): 60.00 60.00 60.00
Closest atoms and distances in Å follow each position.
Fractional positions:
Hg  0.0000  0.0000  0.0000  4 Hg 2.88, 4 Rh 2.88
Hg  0.7500  0.7500  0.7500  4 Hg 2.88, 4 P 2.88
P  0.5000  0.5000  0.5000  4 Hg 2.88, 4 Rh 2.88
Rh  0.2500  0.2500  0.2500  4 Hg 2.88, 4 P 2.88

Calculated values
Symmetry: No. 216
Mass density (kg/m3): 12099
DOS at the Fermi energy (states/eV per cell): 3.453
Formation energy (meV per atom): 496.5
Electronic total energy (eV per cell): -11.379


Record 3
First-principles (PBE) data for an optimized crystal structure of YMn2Cu, as listed in Alexandria.

a b c (Å): 4.5842 4.5842 4.5842
angles (deg): 60.00 60.00 60.00
Closest atoms and distances in Å follow each position.
Fractional positions:
Y  0.5000  0.5000  0.5000  8 Mn 2.81
Mn  0.2500  0.2500  0.2500  4 Y 2.81, 4 Cu 2.81
Mn  0.7500  0.7500  0.7500  4 Cu 2.81, 4 Y 2.81
Cu  0.0000  0.0000  0.0000  8 Mn 2.81

Calculated values
Symmetry: No. 225
Mass density (kg/m3): 6395
Distance to the lowest polymorph of the same formula (meV/atom): 344
DOS at the Fermi energy (states/eV per cell): 4.740
Formation energy (meV per atom): 381.4
Electronic total energy (eV per cell): -27.374


Record 4
First-principles (PBE) data for an optimized crystal structure of PmAlCuNi, as listed in Alexandria.

a b c (Å): 4.6027 4.6027 4.6027
angles (deg): 60.00 60.00 60.00
Closest atoms and distances in Å follow each position.
Fractional positions:
Ni  0.5000  0.5000  0.5000  4 Pm 2.82, 4 Al 2.82
Al  0.7500  0.7500  0.7500  4 Ni 2.82, 4 Cu 2.82
Cu  0.0000  0.0000  0.0000  4 Al 2.82, 4 Pm 2.82
Pm  0.2500  0.2500  0.2500  4 Cu 2.82, 4 Ni 2.82

Calculated values
Symmetry: No. 216
Mass density (kg/m3): 7086
Distance to the lowest polymorph of the same formula (meV/atom): 142
DOS at the Fermi energy (states/eV per cell): 3.991
Formation energy (meV per atom): -289.2
Electronic total energy (eV per cell): -19.527


Record 5
First-principles (PBE) data for an optimized crystal structure of Pm7Sm12In, as listed in Alexandria.

a b c (Å): 8.7971 8.7971 8.7971
angles (deg): 88.43 88.43 88.43
Closest atoms and distances in Å follow each position.
Fractional positions:
Pm  0.8547  0.6146  0.9284  3 Pm 3.46-3.49, 7 Sm 3.59-3.84, 1 In 3.73
Pm  0.3854  0.0716  0.1453  3 Pm 3.46-3.49, 7 Sm 3.59-3.84, 1 In 3.73
Pm  0.0716  0.1453  0.3854  3 Pm 3.46-3.49, 7 Sm 3.59-3.84, 1 In 3.73
Pm  0.5000  0.5000  0.5000  6 Sm 3.28
Pm  0.9284  0.8547  0.6146  3 Pm 3.46-3.49, 7 Sm 3.59-3.84, 1 In 3.73
Pm  0.6146  0.9284  0.8547  3 Pm 3.46-3.49, 7 Sm 3.59-3.84, 1 In 3.73
Pm  0.1453  0.3854  0.0716  3 Pm 3.46-3.49, 7 Sm 3.59-3.84, 1 In 3.73
Sm  0.8705  0.2555  0.7420  5 Sm 3.33-3.57, 1 In 3.35, 2 Pm 3.60-3.70
Sm  0.7445  0.2580  0.1295  5 Sm 3.33-3.57, 1 In 3.35, 2 Pm 3.60-3.70
Sm  0.6132  0.1417  0.5013  4 Sm 3.23-3.57, 2 Pm 3.28-3.59
Sm  0.8583  0.4987  0.3868  4 Sm 3.23-3.57, 2 Pm 3.28-3.59
Sm  0.2580  0.1295  0.7445  5 Sm 3.33-3.57, 1 In 3.35, 2 Pm 3.60-3.70
Sm  0.4987  0.3868  0.8583  4 Sm 3.23-3.57, 2 Pm 3.28-3.59
Sm  0.5013  0.6132  0.1417  4 Sm 3.23-3.57, 2 Pm 3.28-3.59
Sm  0.7420  0.8705  0.2555  5 Sm 3.33-3.57, 1 In 3.35, 2 Pm 3.60-3.70
Sm  0.1417  0.5013  0.6132  4 Sm 3.23-3.57, 2 Pm 3.28-3.59
Sm  0.3868  0.8583  0.4987  4 Sm 3.23-3.57, 2 Pm 3.28-3.59
Sm  0.2555  0.7420  0.8705  5 Sm 3.33-3.57, 1 In 3.35, 2 Pm 3.60-3.70
Sm  0.1295  0.7445  0.2580  5 Sm 3.33-3.57, 1 In 3.35, 2 Pm 3.60-3.70
In  0.0000  0.0000  0.0000  6 Sm 3.35, 6 Pm 3.73

Calculated values
Symmetry: No. 148
Mass density (kg/m3): 7165
DOS at the Fermi energy (states/eV per cell): 31.819
Formation energy (meV per atom): 139.9
Electronic total energy (eV per cell): -89.825


Record 6
First-principles (PBE) data for an optimized crystal structure of TeMo2Cl, as listed in Alexandria.

a b c (Å): 10.3524 10.3524 10.3524
angles (deg): 17.37 17.37 17.37
Closest atoms and distances in Å follow each position.
Fractional positions:
Cl  0.2793  0.2793  0.2793  3 Mo 2.49
Mo  0.0020  0.0020  0.0020  3 Cl 2.49
Mo  0.7424  0.7424  0.7424  3 Te 2.74, 3 Mo 2.89
Te  0.4763  0.4763  0.4763  3 Mo 2.74

Calculated values
Symmetry: No. 160
Mass density (kg/m3): 6829
Formation energy (no corrections) (eV per atom): 0.0521
Distance to the lowest polymorph of the same formula (meV/atom): 144
DOS at the Fermi energy (states/eV per cell): 2.848
Electronic total energy (eV per cell): -26.442


Record 7
First-principles (PBE) data for an optimized crystal structure of Cs2Tl6RhPb, as listed in Alexandria.

a b c (Å): 7.2374 7.5476 7.5476
angles (deg): 120.00 90.00 90.00
Closest atoms and distances in Å follow each position.
Fractional positions:
Cs  0.3393  0.3333  0.6667  12 Tl 3.94-4.26
Cs  0.6607  0.6667  0.3333  12 Tl 3.94-4.26
Tl  0.8152  0.1845  0.3689  1 Rh 2.76
Tl  0.8152  0.1845  0.8155  1 Rh 2.76
Tl  0.8152  0.6311  0.8155  1 Rh 2.76
Tl  0.1848  0.8155  0.1845  1 Rh 2.76
Tl  0.1848  0.3689  0.1845  1 Rh 2.76
Tl  0.1848  0.8155  0.6311  1 Rh 2.76
Rh  0.0000  0.0000  0.0000  6 Tl 2.76
Pb  0.5000  0.0000  0.0000  6 Tl 3.32, 2 Rh 3.62

Calculated values
Symmetry: No. 164
Mass density (kg/m3): 8382
DOS at the Fermi energy (states/eV per cell): 4.454
Formation energy (meV per atom): -28.3
Electronic total energy (eV per cell): -27.248


Record 8
First-principles (PBE) data for an optimized crystal structure of MnTe2Mo, as listed in Alexandria.

a b c (Å): 4.8791 4.8791 4.8791
angles (deg): 60.00 60.00 60.00
Closest atoms and distances in Å follow each position.
Fractional positions:
Mn  0.5000  0.5000  0.5000  4 Mo 2.99, 4 Te 2.99
Mo  0.7500  0.7500  0.7500  4 Te 2.99, 4 Mn 2.99
Te  0.0000  0.0000  0.0000  4 Mo 2.99, 4 Te 2.99
Te  0.2500  0.2500  0.2500  4 Mn 2.99, 4 Te 2.99

Calculated values
Symmetry: No. 216
Mass density (kg/m3): 8210
Formation energy (no corrections) (eV per atom): 0.8410
Distance to the lowest polymorph of the same formula (meV/atom): 889
DOS at the Fermi energy (states/eV per cell): 3.701
Electronic total energy (eV per cell): -22.920


Record 9
First-principles (PBE) data for an optimized crystal structure of Sr2ScTa, as listed in Alexandria.

a b c (Å): 5.6254 5.6254 5.6254
angles (deg): 60.00 60.00 60.00
Closest atoms and distances in Å follow each position.
Fractional positions:
Sc  0.0000  0.0000  0.0000  8 Sr 3.44
Sr  0.2500  0.2500  0.2500  4 Ta 3.44, 4 Sc 3.44
Sr  0.7500  0.7500  0.7500  4 Ta 3.44, 4 Sc 3.44
Ta  0.5000  0.5000  0.5000  8 Sr 3.44

Calculated values
Symmetry: No. 225
Mass density (kg/m3): 5292
Distance to the lowest polymorph of the same formula (meV/atom): 481
DOS at the Fermi energy (states/eV per cell): 7.898
Formation energy (meV per atom): 1017.3
Electronic total energy (eV per cell): -17.479


Record 10
First-principles (PBE) data for an optimized crystal structure of CePrLu2, as listed in Alexandria.

a b c (Å): 3.5681 3.5681 9.7323
angles (deg): 90.00 90.00 90.00
Closest atoms and distances in Å follow each position.
Fractional positions:
Pr  0.5000  0.5000  0.5000  4 Pr 3.57, 8 Lu 3.58
Lu  0.0000  0.0000  0.7603  4 Ce 3.44, 4 Lu 3.57, 4 Pr 3.58
Lu  0.0000  0.0000  0.2397  4 Ce 3.44, 4 Lu 3.57, 4 Pr 3.58
Ce  0.5000  0.5000  0.0000  8 Lu 3.44, 4 Ce 3.57

Calculated values
Symmetry: No. 123
Mass density (kg/m3): 8456
Distance to the lowest polymorph of the same formula (meV/atom): 3
DOS at the Fermi energy (states/eV per cell): 7.421
Formation energy (meV per atom): 61.0
Electronic total energy (eV per cell): -19.511


Record 11
First-principles (PBE) data for an optimized crystal structure of Li2YFe, as listed in Alexandria.

a b c (Å): 5.1712 5.1712 6.0799
angles (deg): 63.05 63.05 34.54
Closest atoms and distances in Å follow each position.
Fractional positions:
Fe  0.2874  0.2874  0.3765  3 Y 2.67-2.74, 4 Li 2.68-2.71
Li  0.9384  0.9384  0.9620  2 Fe 2.71, 3 Li 2.88
Li  0.7179  0.7179  0.7781  2 Fe 2.68, 3 Li 2.88
Y  0.5562  0.5562  0.3834  3 Fe 2.67-2.74

Calculated values
Symmetry: No. 8
Mass density (kg/m3): 3246
Distance to the lowest polymorph of the same formula (meV/atom): 118
DOS at the Fermi energy (states/eV per cell): 3.993
Formation energy (meV per atom): 354.7
Electronic total energy (eV per cell): -17.336


Record 12
First-principles (PBE) data for an optimized crystal structure of MnAu4, as listed in Alexandria.

a b c (Å): 3.1336 7.7709 3.7863
angles (deg): 75.90 90.00 78.37
Closest atoms and distances in Å follow each position.
Fractional positions:
Au  0.0053  0.9895  0.0053  6 Au 2.79-3.06, 4 Mn 2.83
Au  0.4024  0.1951  0.4024  11 Au 2.89-3.13, 1 Mn 2.91
Au  0.7976  0.4049  0.7976  11 Au 2.89-3.13, 1 Mn 2.91
Au  0.1947  0.6105  0.1947  6 Au 2.79-3.06, 4 Mn 2.83
Mn  0.6000  0.8000  0.6000  10 Au 2.83-2.91, 2 Mn 3.13

Calculated values
Symmetry: No. 71
Mass density (kg/m3): 16000
Distance to the lowest polymorph of the same formula (meV/atom): 23
DOS at the Fermi energy (states/eV per cell): 1.118
Formation energy (meV per atom): -55.2
Electronic total energy (eV per cell): -22.555